(1)
This record from the Alexandria database describes a relaxed structure of TiPdSe2. The functional is PBE.

Cell and atoms, written as CIF:
```
data_TiPdSe2
_chemical_formula_sum 'Ti4 Pd4 Se8'
_symmetry_space_group_name_H-M 'C 1 2/m 1'
_symmetry_Int_Tables_number 12
_symmetry_space_group_name_Hall '-C 2y'
_cell_length_a 16.233
_cell_length_b 3.543
_cell_length_c 6.616
_cell_angle_alpha 90.00
_cell_angle_beta 94.75
_cell_angle_gamma 90.00
loop_
_atom_site_label
_atom_site_type_symbol
_atom_site_fract_x
_atom_site_fract_y
_atom_site_fract_z
_atom_site_occupancy
Ti1 Ti 0.162 0.000 0.414 1
Pd1 Pd 0.196 0.500 0.095 1
Se1 Se 0.066 0.500 0.267 1
Se2 Se 0.193 0.500 0.706 1
```

Calculated values
Total magnetization = 0.000 μB/cell
Formation energy without anion corrections = -0.768 eV per atom
Distance to the lowest polymorph of the same formula = 0.0 meV/atom

***

(2)
This record from the Alexandria database describes a relaxed structure of Zn2CdSe3. The functional is PBE.

Cell and atoms, written as CIF:
```
data_Zn2CdSe3
_chemical_formula_sum 'Zn8 Cd4 Se12'
_symmetry_space_group_name_H-M 'C 1 c 1'
_symmetry_Int_Tables_number 9
_symmetry_space_group_name_Hall 'C -2yc'
_cell_length_a 7.202
_cell_length_b 12.512
_cell_length_c 7.185
_cell_angle_alpha 90.00
_cell_angle_beta 109.21
_cell_angle_gamma 90.00
loop_
_atom_site_label
_atom_site_type_symbol
_atom_site_fract_x
_atom_site_fract_y
_atom_site_fract_z
_atom_site_occupancy
Zn1 Zn 0.000 0.083 0.000 1
Zn2 Zn 0.499 0.254 0.999 1
Cd1 Cd 0.000 0.413 0.001 1
Se1 Se 0.363 0.093 0.109 1
Se2 Se 0.366 0.261 0.631 1
Se3 Se 0.393 0.418 0.132 1
```

Calculated values
Total magnetization = 0.000 μB/cell
Formation energy without anion corrections = -0.677 eV per atom

***

(3)
This record from the Alexandria database describes a relaxed structure of SrIr2Rh. The functional is PBE.

Cell and atoms, written as CIF:
```
data_SrIr2Rh
_chemical_formula_sum 'Sr1 Ir2 Rh1'
_symmetry_space_group_name_H-M 'P 4/m m m'
_symmetry_Int_Tables_number 123
_symmetry_space_group_name_Hall '-P 4 2'
_cell_length_a 2.940
_cell_length_b 2.940
_cell_length_c 8.251
_cell_angle_alpha 90.00
_cell_angle_beta 90.00
_cell_angle_gamma 90.00
loop_
_atom_site_label
_atom_site_type_symbol
_atom_site_fract_x
_atom_site_fract_y
_atom_site_fract_z
_atom_site_occupancy
Sr1 Sr 0.000 0.000 0.000 1
Ir1 Ir 0.500 0.500 0.295 1
Rh1 Rh 0.000 0.000 0.500 1
```

Calculated values
DOS at the Fermi energy = 4.25 states/eV/cell
Total magnetization = 0.000 μB/cell
Calculated formation energy = 0.2550 eV per atom
Distance to the lowest polymorph of the same formula = 64.3 meV/atom

***

(4)
This record from the Alexandria database describes a relaxed structure of AcPb6Se8. The functional is PBE.

Cell and atoms, written as CIF:
```
data_AcPb6Se8
_chemical_formula_sum 'Ac1 Pb6 Se8'
_symmetry_space_group_name_H-M 'P -3'
_symmetry_Int_Tables_number 147
_symmetry_space_group_name_Hall '-P 3'
_cell_length_a 10.8315
_cell_length_b 10.8315
_cell_length_c 4.5687
_cell_angle_alpha 90.00
_cell_angle_beta 90.00
_cell_angle_gamma 120.00
loop_
_atom_site_label
_atom_site_type_symbol
_atom_site_fract_x
_atom_site_fract_y
_atom_site_fract_z
_atom_site_occupancy
Ac1 Ac 0.0000 0.0000 0.0000 1
Pb1 Pb 0.1277 0.6728 0.7842 1
Se1 Se 0.0277 0.2848 0.7366 1
Se2 Se 0.3333 0.6667 0.2407 1
```

Calculated values
DOS at the Fermi energy = 8.19 states/eV/cell
Total magnetization = 0.000 μB/cell
Formation energy without anion corrections = -0.643 eV per atom

***

(5)
This record from the Alexandria database describes a relaxed structure of RbAl2CuBr8. The functional is PBE.

Cell and atoms, written as CIF:
```
data_RbAl2CuBr8
_chemical_formula_sum 'Rb1 Al2 Cu1 Br8'
_symmetry_space_group_name_H-M 'P -3'
_symmetry_Int_Tables_number 147
_symmetry_space_group_name_Hall '-P 3'
_cell_length_a 6.8270
_cell_length_b 6.8270
_cell_length_c 9.8013
_cell_angle_alpha 90.00
_cell_angle_beta 90.00
_cell_angle_gamma 120.00
loop_
_atom_site_label
_atom_site_type_symbol
_atom_site_fract_x
_atom_site_fract_y
_atom_site_fract_z
_atom_site_occupancy
Rb1 Rb 0.0000 0.0000 0.0000 1
Al1 Al 0.3333 0.6667 0.7379 1
Cu1 Cu 0.0000 0.0000 0.5000 1
Br1 Br 0.0190 0.3277 0.6666 1
Br2 Br 0.3333 0.6667 0.9754 1
```

Calculated values
DOS at the Fermi energy = 0.00 states/eV/cell
Total magnetization = 0.126 μB/cell
Formation energy without anion corrections = -1.075 eV per atom

***

(6)
This record from the Alexandria database describes a relaxed structure of NaLiAg4. The functional is PBE.

Cell and atoms, written as CIF:
```
data_NaLiAg4
_chemical_formula_sum 'Na4 Li4 Ag16'
_symmetry_space_group_name_H-M 'F -4 3 m'
_symmetry_Int_Tables_number 216
_symmetry_space_group_name_Hall 'F -4 2 3'
_cell_length_a 7.908
_cell_length_b 7.908
_cell_length_c 7.908
_cell_angle_alpha 90.00
_cell_angle_beta 90.00
_cell_angle_gamma 90.00
loop_
_atom_site_label
_atom_site_type_symbol
_atom_site_fract_x
_atom_site_fract_y
_atom_site_fract_z
_atom_site_occupancy
Na1 Na 0.000 0.000 0.000 1
Li1 Li 0.250 0.250 0.750 1
Ag1 Ag 0.125 0.125 0.375 1
```

Calculated values
DOS at the Fermi energy = 3.08 states/eV/cell
Total magnetization = 0.000 μB/cell
Calculated formation energy = -0.0887 eV per atom
Distance to the lowest polymorph of the same formula = 0.0 meV/atom

***

(7)
This record from the Alexandria database describes a relaxed structure of ScReSi4. The functional is PBE.

Cell and atoms, written as CIF:
```
data_ScReSi4
_chemical_formula_sum 'Sc4 Re4 Si16'
_symmetry_space_group_name_H-M 'F -4 3 m'
_symmetry_Int_Tables_number 216
_symmetry_space_group_name_Hall 'F -4 2 3'
_cell_length_a 6.971
_cell_length_b 6.971
_cell_length_c 6.971
_cell_angle_alpha 90.00
_cell_angle_beta 90.00
_cell_angle_gamma 90.00
loop_
_atom_site_label
_atom_site_type_symbol
_atom_site_fract_x
_atom_site_fract_y
_atom_site_fract_z
_atom_site_occupancy
Sc1 Sc 0.000 0.000 0.000 1
Re1 Re 0.250 0.250 0.750 1
Si1 Si 0.125 0.125 0.375 1
```

Calculated values
DOS at the Fermi energy = 24.25 states/eV/cell
Total magnetization = 0.000 μB/cell
Formation energy without anion corrections = 0.220 eV per atom

***

(8)
This record from the Alexandria database describes a relaxed structure of Li3Cu2S3O12. The functional is PBE.

Cell and atoms, written as CIF:
```
data_Li3Cu2S3O12
_chemical_formula_sum 'Li12 Cu8 S12 O48'
_symmetry_space_group_name_H-M 'P 1 21/c 1'
_symmetry_Int_Tables_number 14
_symmetry_space_group_name_Hall '-P 2ybc'
_cell_length_a 8.510
_cell_length_b 9.011
_cell_length_c 15.250
_cell_angle_alpha 90.00
_cell_angle_beta 122.92
_cell_angle_gamma 90.00
loop_
_atom_site_label
_atom_site_type_symbol
_atom_site_fract_x
_atom_site_fract_y
_atom_site_fract_z
_atom_site_occupancy
Li1 Li 0.030 0.249 0.317 1
Li2 Li 0.366 0.238 0.253 1
Li3 Li 0.391 0.621 0.302 1
Cu1 Cu 0.155 0.548 0.407 1
Cu2 Cu 0.332 0.539 0.076 1
S1 S 0.083 0.059 0.668 1
S2 S 0.244 0.585 0.645 1
S3 S 0.461 0.246 0.495 1
O1 O 0.073 0.208 0.706 1
O2 O 0.080 0.520 0.934 1
O3 O 0.092 0.570 0.667 1
O4 O 0.111 0.560 0.246 1
O5 O 0.157 0.618 0.533 1
O6 O 0.263 0.060 0.669 1
O7 O 0.270 0.191 0.941 1
O8 O 0.356 0.054 0.176 1
O9 O 0.363 0.712 0.709 1
O10 O 0.400 0.635 0.438 1
O11 O 0.489 0.123 0.565 1
O12 O 0.494 0.198 0.411 1
```

Calculated values
DOS at the Fermi energy = 26.46 states/eV/cell
Total magnetization = 4.024 μB/cell
Formation energy without anion corrections = -1.442 eV per atom
Distance to the lowest polymorph of the same formula = 0.0 meV/atom

***

(9)
This record from the Alexandria database describes a relaxed structure of MgAl2Cd. The functional is PBE.

Cell and atoms, written as CIF:
```
data_MgAl2Cd
_chemical_formula_sum 'Mg1 Al2 Cd1'
_symmetry_space_group_name_H-M 'P 4/m m m'
_symmetry_Int_Tables_number 123
_symmetry_space_group_name_Hall '-P 4 2'
_cell_length_a 3.023
_cell_length_b 3.023
_cell_length_c 8.561
_cell_angle_alpha 90.00
_cell_angle_beta 90.00
_cell_angle_gamma 90.00
loop_
_atom_site_label
_atom_site_type_symbol
_atom_site_fract_x
_atom_site_fract_y
_atom_site_fract_z
_atom_site_occupancy
Mg1 Mg 0.000 0.000 0.000 1
Al1 Al 0.500 0.500 0.246 1
Cd1 Cd 0.000 0.000 0.500 1
```

Calculated values
DOS at the Fermi energy = 1.64 states/eV/cell
Total magnetization = 0.000 μB/cell
Calculated formation energy = 0.0747 eV per atom